Entry 1:
## Ga3AgPd12 (PBE-GGA)

Data for Ga3AgPd12 after structural relaxation. Values from VASP.

Calculated total energy, Ry per atom: -0.3656

```
&SYSTEM
  ibrav = 0, nat = 16, ntyp = 3
/
ATOMIC_SPECIES
Ga 69.72 Ga.upf
Ag 107.87 Ag.upf
Pd 106.42 Pd.upf
ATOMIC_POSITIONS crystal
Ga 0.000 0.000 0.000
Ga 0.000 0.000 0.247
Ga 0.000 0.000 0.753
Ag 0.000 0.000 0.500
Pd 0.000 0.500 0.124
Pd 0.000 0.500 0.369
Pd 0.000 0.500 0.631
Pd 0.000 0.500 0.876
Pd 0.500 0.000 0.124
Pd 0.500 0.000 0.369
Pd 0.500 0.000 0.631
Pd 0.500 0.000 0.876
Pd 0.500 0.500 0.000
Pd 0.500 0.500 0.248
Pd 0.500 0.500 0.500
Pd 0.500 0.500 0.752
CELL_PARAMETERS angstrom
3.977 0.000 0.000
0.000 3.977 0.000
0.000 0.000 15.467
```

Entry 2:
## LiPmSeCl (PBE-GGA)

Data for LiPmSeCl after structural relaxation. Values from VASP.

Calculated total energy, Ry per atom: -0.3398

```
&SYSTEM
  ibrav = 0, nat = 8, ntyp = 4
/
ATOMIC_SPECIES
Li 6.94 Li.upf
Pm 145.00 Pm.upf
Se 78.96 Se.upf
Cl 35.45 Cl.upf
ATOMIC_POSITIONS crystal
Li 0.189 0.189 0.189
Li 0.811 0.811 0.811
Pm 0.414 0.414 0.414
Pm 0.586 0.586 0.586
Se 0.125 0.125 0.125
Se 0.875 0.875 0.875
Cl 0.292 0.292 0.292
Cl 0.708 0.708 0.708
CELL_PARAMETERS angstrom
2.034 1.174 13.923
-2.034 1.174 13.923
0.000 -2.349 13.923
```

Entry 3:
## CaFeCu2Pd (PBE-GGA)

Data for CaFeCu2Pd after structural relaxation. Values from VASP.

Calculated total energy, Ry per atom: -0.3177

```
&SYSTEM
  ibrav = 0, nat = 5, ntyp = 4
/
ATOMIC_SPECIES
Ca 40.08 Ca.upf
Fe 55.84 Fe.upf
Cu 63.55 Cu.upf
Pd 106.42 Pd.upf
ATOMIC_POSITIONS crystal
Ca 0.000 0.000 0.000
Fe 0.500 0.500 0.000
Cu 0.000 0.500 0.500
Cu 0.500 0.000 0.500
Pd 0.500 0.500 0.500
CELL_PARAMETERS angstrom
4.779 0.000 0.000
0.000 4.779 0.000
0.000 0.000 4.670
```